Entry 1:
Density functional theory data (PBE-GGA) for a geometry-optimized Rb3AuS structure.

Cell lengths 5.0250, 8.7985, 18.9969 Å; angles 90.00, 90.00, 90.00 degrees
Positions (direct):
Rb 0.2500 0.3708 0.5472
Rb 0.7500 0.8461 0.2040
Rb 0.7500 0.4824 0.9104
Rb 0.7500 0.9824 0.5896
Rb 0.7500 0.6292 0.4528
Rb 0.2500 0.0176 0.4104
Rb 0.2500 0.8708 0.9528
Rb 0.7500 0.3461 0.2960
Rb 0.2500 0.6539 0.7040
Rb 0.2500 0.1539 0.7960
Rb 0.7500 0.1292 0.0472
Rb 0.2500 0.5176 0.0896
Au 0.7500 0.8527 0.7976
Au 0.2500 0.1473 0.2024
Au 0.7500 0.3527 0.7024
Au 0.2500 0.6473 0.2976
S 0.2500 0.2625 0.9557
S 0.2500 0.7625 0.5443
S 0.7500 0.2375 0.4557
S 0.7500 0.7375 0.0443

Results
As for the crystal system: orthorhombic.



Entry 2:
Density functional theory data (PBE-GGA) for a geometry-optimized RbAuS structure.

Cell lengths 7.7148, 8.0251, 7.2541 Å; angles 115.77, 90.00, 90.00 degrees
Positions (direct):
Rb 0.2531 0.4955 0.2492
Rb 0.7531 0.0045 0.7508
Rb 0.7469 0.5045 0.7508
Rb 0.2469 0.9955 0.2492
Au 0.2506 0.9999 0.7501
Au 0.7506 0.5001 0.2499
Au 0.7494 0.0001 0.2499
Au 0.2494 0.4999 0.7501
S 0.0970 0.7496 0.7484
S 0.5970 0.7504 0.2516
S 0.9030 0.2504 0.2516
S 0.4030 0.2496 0.7484

Results
As for the crystal system: monoclinic.



Entry 3:
Density functional theory data (PBE-GGA) for a geometry-optimized Rb4Au6S5 structure.

Cell lengths 10.1595, 10.1595, 10.2699 Å; angles 90.00, 90.00, 120.00 degrees
Positions (direct):
Rb 0.4209 0.0765 0.2500
Rb 0.9235 0.3444 0.2500
Rb 0.6556 0.5791 0.2500
Rb 0.5791 0.6556 0.7500
Rb 0.3444 0.9235 0.7500
Rb 0.0000 0.0000 0.0000
Rb 0.0000 0.0000 0.5000
Rb 0.0765 0.4209 0.7500
Au 0.8274 0.5452 0.5935
Au 0.7178 0.1726 0.5935
Au 0.4548 0.2822 0.5935
Au 0.2822 0.4548 0.4065
Au 0.7178 0.1726 0.9065
Au 0.8274 0.5452 0.9065
Au 0.1726 0.7178 0.0935
Au 0.5452 0.8274 0.0935
Au 0.5452 0.8274 0.4065
Au 0.1726 0.7178 0.4065
Au 0.2822 0.4548 0.0935
Au 0.4548 0.2822 0.9065
S 0.7323 0.9601 0.2500
S 0.3333 0.6667 0.5359
S 0.3333 0.6667 0.9641
S 0.6667 0.3333 0.0359
S 0.6667 0.3333 0.4641
S 0.9601 0.7323 0.7500
S 0.7721 0.0399 0.7500
S 0.2677 0.2279 0.7500
S 0.0399 0.7721 0.2500
S 0.2279 0.2677 0.2500

Results
As for the crystal system: hexagonal.



Entry 4:
Density functional theory data (PBE-GGA) for a geometry-optimized RbAuS5 structure.

Cell lengths 12.0635, 11.5585, 9.2188 Å; angles 90.04, 113.57, 148.21 degrees
Positions (direct):
Rb 0.8850 0.7283 0.2946
Rb 0.1150 0.2717 0.7054
Au 0.0000 0.0000 0.0000
Au 0.5000 0.5000 0.5000
S 0.3041 0.6640 0.2467
S 0.6964 0.1734 0.6810
S 0.0399 0.7339 0.7798
S 0.4141 0.5047 0.2247
S 0.2892 0.8301 0.8172
S 0.7108 0.1699 0.1828
S 0.5859 0.4953 0.7753
S 0.9601 0.2661 0.2202
S 0.3036 0.8266 0.3190
S 0.6959 0.3360 0.7533

Results
As for the crystal system: triclinic.



Entry 5:
Density functional theory data (PBE-GGA) for a geometry-optimized Rb2AuS4 structure.

Cell lengths 5.1217, 5.1217, 8.8847 Å; angles 73.25, 73.25, 90.00 degrees
Positions (direct):
S 0.1446 0.1446 0.7108
S 0.8554 0.8554 0.2892
S 0.0000 0.5000 0.0000
S 0.5000 0.0000 0.0000
Au 0.0000 0.0000 0.0000
Rb 0.3584 0.3584 0.2831
Rb 0.6416 0.6416 0.7169

Results
As for the crystal system: tetragonal.



Entry 6:
Density functional theory data (PBE-GGA) for a geometry-optimized Rb6Au3S structure.

Cell lengths 5.8996, 9.9874, 14.0337 Å; angles 89.99, 90.00, 90.00 degrees
Positions (direct):
Rb 0.5000 0.1522 0.9180
Rb 0.5000 0.1805 0.5609
Rb 0.5000 0.4832 0.2614
Rb 0.5000 0.5168 0.7386
Rb 0.5000 0.8195 0.4391
Rb 0.5000 0.8478 0.0820
Rb 0.0000 0.3479 0.4180
Rb 0.0000 0.3194 0.0609
Rb 0.0000 0.0169 0.7614
Rb 0.0000 0.9831 0.2386
Rb 0.0000 0.6806 0.9391
Rb 0.0000 0.6521 0.5820
Au 0.5000 0.8657 0.6998
Au 0.5000 0.5000 0.0000
Au 0.5000 0.1343 0.3002
Au 0.0000 0.6343 0.1997
Au 0.0000 0.0000 0.5000
Au 0.0000 0.3657 0.8003
S 0.5000 0.5000 0.5000
S 0.0000 0.0000 0.0000

Results
As for the crystal system: orthorhombic.



Entry 7:
Density functional theory data (PBE-GGA) for a geometry-optimized RbAuS structure.

Cell lengths 5.0931, 4.3578, 4.3578 Å; angles 120.00, 90.00, 90.00 degrees
Positions (direct):
S 0.1665 0.0000 0.0000
Au 0.1667 0.3333 0.6667
Rb 0.6668 0.6667 0.3333

Results
As for the crystal system: hexagonal.



Entry 8:
Density functional theory data (PBE-GGA) for a geometry-optimized RbAu2S structure.

Cell lengths 5.5146, 5.5146, 9.3670 Å; angles 72.88, 72.88, 90.00 degrees
Positions (direct):
S 0.5000 0.5000 0.0000
S 0.2500 0.7500 0.5000
Au 0.3752 0.1250 0.2500
Au 0.3748 0.6250 0.2500
Au 0.3750 0.6248 0.7500
Au 0.8750 0.6252 0.7500
Rb 0.0000 0.0000 0.0000
Rb 0.7500 0.2500 0.5000

Results
As for the crystal system: tetragonal.



Entry 9:
Density functional theory data (PBE-GGA) for a geometry-optimized RbAuS4 structure.

Cell lengths 4.8698, 6.6975, 6.7888 Å; angles 81.42, 68.98, 56.61 degrees
Positions (direct):
Rb 0.6295 0.4974 0.9279
Au 0.7491 0.9994 0.4027
S 0.3939 0.0854 0.9905
S 0.3446 0.9444 0.2743
S 0.9863 0.5770 0.4052
S 0.4044 0.4127 0.5106

Results
As for the crystal system: triclinic.



Entry 10:
Density functional theory data (PBE-GGA) for a geometry-optimized Rb8Au2S structure.

Cell lengths 4.8620, 10.0032, 13.8345 Å; angles 88.83, 100.12, 90.00 degrees
Positions (direct):
Rb 0.6149 0.5018 0.2298
Rb 0.3832 0.0025 0.7664
Rb 0.2523 0.2610 0.5045
Rb 0.0100 0.7910 0.0199
Rb 0.7477 0.7390 0.4955
Rb 0.6168 0.9975 0.2336
Rb 0.3851 0.4982 0.7702
Rb 0.9900 0.2090 0.9801
Au 0.1481 0.7446 0.2963
Au 0.8519 0.2554 0.7037
S 0.5000 0.0000 0.0000

Results
As for the crystal system: monoclinic.



Entry 11:
Density functional theory data (PBE-GGA) for a geometry-optimized Rb10Au4S structure.

Cell lengths 5.8148, 5.8148, 24.7606 Å; angles 83.26, 83.26, 60.00 degrees
Positions (direct):
Rb 0.9547 0.9547 0.1358
Rb 0.1501 0.1501 0.5497
Rb 0.5514 0.5514 0.3457
Rb 0.3464 0.3464 0.9609
Rb 0.7485 0.7485 0.7545
Rb 0.6536 0.6536 0.0391
Rb 0.8499 0.8499 0.4503
Rb 0.2515 0.2515 0.2455
Rb 0.0453 0.0453 0.8642
Rb 0.4486 0.4486 0.6543
Au 0.3958 0.3958 0.8127
Au 0.7993 0.7993 0.6022
Au 0.2007 0.2007 0.3978
Au 0.6042 0.6042 0.1873
S 0.0000 0.0000 0.0000

Results
As for the crystal system: trigonal.



Entry 12:
Density functional theory data (PBE-GGA) for a geometry-optimized Rb6AuS structure.

Cell lengths 8.6957, 8.6957, 8.4026 Å; angles 98.32, 98.32, 121.34 degrees
Positions (direct):
Rb 0.5777 0.8721 0.7406
Rb 0.8721 0.5777 0.7406
Rb 0.1279 0.4223 0.2594
Rb 0.4223 0.1279 0.2594
Rb 0.2565 0.2565 0.7301
Rb 0.7435 0.7435 0.2699
Au 0.0000 0.0000 0.0000
S 0.5000 0.5000 0.5000

Results
As for the crystal system: monoclinic.



Entry 13:
Density functional theory data (PBE-GGA) for a geometry-optimized Rb2AuS2 structure.

Cell lengths 3.9250, 7.5386, 10.8919 Å; angles 90.00, 100.38, 90.00 degrees
Positions (direct):
Rb 0.0314 0.2804 0.0628
Rb 0.2003 0.5188 0.4006
Rb 0.7997 0.0188 0.5994
Rb 0.9686 0.7804 0.9372
Au 0.6319 0.8916 0.2638
Au 0.3681 0.3916 0.7362
S 0.5794 0.6192 0.1588
S 0.1686 0.0555 0.3371
S 0.8314 0.5555 0.6629
S 0.4206 0.1192 0.8412

Results
As for the crystal system: orthorhombic.



Entry 14:
Density functional theory data (PBE-GGA) for a geometry-optimized Rb6Au2S structure.

Cell lengths 8.2549, 8.6294, 14.4937 Å; angles 90.25, 90.00, 90.00 degrees
Positions (direct):
Rb 0.2224 0.1583 0.6561
Rb 0.2322 0.1587 0.3488
Rb 0.2875 0.1845 0.0012
Rb 0.7875 0.3155 0.4988
Rb 0.7322 0.3413 0.1512
Rb 0.7224 0.3417 0.8439
Rb 0.7776 0.8417 0.3439
Rb 0.7678 0.8413 0.6512
Rb 0.7125 0.8155 0.9988
Rb 0.2125 0.6845 0.5012
Rb 0.2678 0.6587 0.8488
Rb 0.2776 0.6583 0.1561
Au 0.5026 0.0018 0.1843
Au 0.0026 0.4982 0.3157
Au 0.9974 0.5018 0.6843
Au 0.4974 0.9982 0.8157
S 0.5000 0.5000 0.0000
S 0.0000 0.0000 0.5000

Results
As for the crystal system: monoclinic.



Entry 15:
Density functional theory data (PBE-GGA) for a geometry-optimized Rb12Au5S3 structure.

Cell lengths 17.1229, 17.1229, 17.1229 Å; angles 109.47, 109.47, 109.47 degrees
Positions (direct):
S 0.7500 0.3750 0.1250
S 0.8750 0.7500 0.1250
S 0.3750 0.7500 0.6250
S 0.2500 0.1250 0.3750
S 0.8750 0.1250 0.2500
S 0.3750 0.6250 0.2500
S 0.6250 0.3750 0.7500
S 0.1250 0.8750 0.7500
S 0.7500 0.8750 0.6250
S 0.6250 0.2500 0.3750
S 0.1250 0.2500 0.8750
S 0.2500 0.6250 0.8750
Au 0.1250 0.3750 0.2500
Au 0.0000 0.5000 0.0000
Au 0.0000 0.0000 0.0000
Au 0.3750 0.2500 0.1250
Au 0.5000 0.0000 0.5000
Au 0.5000 0.5000 0.0000
Au 0.1250 0.7500 0.3750
Au 0.7500 0.1250 0.8750
Au 0.7500 0.6250 0.3750
Au 0.3750 0.1250 0.7500
Au 0.6250 0.8750 0.2500
Au 0.5000 0.5000 0.5000
Au 0.5000 0.0000 0.0000
Au 0.0000 0.0000 0.5000
Au 0.2500 0.3750 0.6250
Au 0.2500 0.8750 0.1250
Au 0.0000 0.5000 0.5000
Au 0.8750 0.2500 0.6250
Au 0.6250 0.7500 0.8750
Au 0.8750 0.6250 0.7500
Rb 0.7343 0.1377 0.0625
Rb 0.3282 0.5625 0.4248
Rb 0.9375 0.3623 0.2657
Rb 0.5625 0.2343 0.1377
Rb 0.5966 0.7343 0.6718
Rb 0.9375 0.5752 0.1718
Rb 0.3282 0.7657 0.4034
Rb 0.0752 0.9034 0.1377
Rb 0.5752 0.9375 0.6718
Rb 0.7343 0.5966 0.1718
Rb 0.7657 0.4375 0.3623
Rb 0.8282 0.9248 0.0625
Rb 0.1377 0.7343 0.5625
Rb 0.3623 0.4248 0.0966
Rb 0.0966 0.9248 0.3623
Rb 0.4034 0.1377 0.5752
Rb 0.0966 0.1718 0.2343
Rb 0.4375 0.6718 0.0752
Rb 0.8282 0.9034 0.2657
Rb 0.1377 0.4034 0.0752
Rb 0.3623 0.9375 0.7657
Rb 0.5752 0.6377 0.4034
Rb 0.9248 0.8282 0.5625
Rb 0.7657 0.3282 0.9034
Rb 0.4248 0.3623 0.5966
Rb 0.0752 0.1718 0.4375
Rb 0.2343 0.6718 0.0966
Rb 0.1718 0.0966 0.7343
Rb 0.6377 0.0625 0.2343
Rb 0.8623 0.5966 0.9248
Rb 0.5625 0.3282 0.9248
Rb 0.5966 0.8623 0.4248
Rb 0.9034 0.8282 0.7657
Rb 0.9034 0.0752 0.6377
Rb 0.8623 0.2657 0.4375
Rb 0.1718 0.0752 0.9375
Rb 0.6377 0.5752 0.9034
Rb 0.4248 0.0625 0.3282
Rb 0.2657 0.4034 0.8282
Rb 0.2343 0.5625 0.6377
Rb 0.9248 0.0966 0.8623
Rb 0.6718 0.2343 0.5966
Rb 0.4375 0.7657 0.8623
Rb 0.0625 0.4248 0.8282
Rb 0.4034 0.2657 0.3282
Rb 0.0625 0.6377 0.7343
Rb 0.6718 0.4375 0.5752
Rb 0.2657 0.8623 0.9375

Results
As for the crystal system: cubic.



Entry 16:
Density functional theory data (PBE-GGA) for a geometry-optimized RbAuS structure.

Cell lengths 6.3451, 6.2745, 6.2745 Å; angles 115.98, 90.00, 90.00 degrees
Positions (direct):
Rb 0.2500 0.6903 0.3097
Rb 0.7500 0.3097 0.6903
Au 0.5000 0.0000 0.0000
Au 0.0000 0.0000 0.0000
S 0.2500 0.1616 0.8384
S 0.7500 0.8384 0.1616

Results
As for the crystal system: orthorhombic.



Entry 17:
Density functional theory data (PBE-GGA) for a geometry-optimized RbAuS2 structure.

Cell lengths 7.7119, 7.7119, 6.5149 Å; angles 53.71, 53.71, 90.00 degrees
Positions (direct):
S 0.7233 0.1250 0.2500
S 0.0267 0.6250 0.2500
S 0.3750 0.2767 0.7500
S 0.8750 0.9733 0.7500
Au 0.0000 0.0000 0.0000
Au 0.7500 0.2500 0.5000
Rb 0.5000 0.5000 0.0000
Rb 0.2500 0.7500 0.5000

Results
As for the crystal system: tetragonal.



Calculated values (eV per atom) of energy relative to the elements, uncorrected for the records, taken in order: -0.69 -0.72 -0.65 -0.28 -0.15 -0.43 -0.61 -0.28 -0.26 -0.36 -0.33 -0.41 -0.69 -0.43 -0.46 -0.77 -0.33.